# PmTmAlIn

An optimized crystal structure of PmTmAlIn (PBE-GGA, Alexandria via LeMat-Bulk).

## Properties
The final energy comes out at -4.342 eV/atom. The calculation puts the formation enthalpy at 0 K at -1.7 eV per formula unit. The value obtained for the offset from the most stable computed form is 0.0 meV/atom. The density comes out at 7.429 g/cm³. As for the total magnetic moment: 0.00 μB/cell. Its space group is P4mm.

Geometry as POSCAR:
```
PmTmAlIn
1.0
3.6816 0.0000 0.0000
0.0000 3.6816 0.0000
0.0000 0.0000 7.5153
Al Tm Pm In
1 1 1 1
direct
0.0000 0.0000 0.3714
0.5000 0.5000 0.5964
0.5000 0.5000 0.1182
0.0000 0.0000 0.8420
```